Entry from Alexandria: crystalline ZnTe2P at its relaxed geometry (GGA-PBE).

Unit cell a=7.0216 b=7.0216 c=7.0216 alpha=33.77 beta=33.77 gamma=33.77
Last column: nearest neighbours and their distance in Å.
Positions (direct):
Zn 0.0000 0.0000 0.0000  6 Te 2.90
Te 0.2478 0.2478 0.2478  3 P 2.85, 3 Zn 2.90
Te 0.7522 0.7522 0.7522  3 P 2.85, 3 Zn 2.90
P 0.5000 0.5000 0.5000  6 Te 2.85

Calculated values
Formation energy without anion corrections in eV/f.u.: 0.31
Total energy in Ry per atom: -0.2325
Total moment in μB per formula unit: 0.00

Entry from Alexandria: crystalline ErNb5 at its relaxed geometry (GGA-PBE).

Unit cell a=7.5163 b=7.5163 c=3.3579 alpha=90.00 beta=90.00 gamma=141.49
Last column: nearest neighbours and their distance in Å.
Positions (direct):
Er 0.0000 0.0000 0.0000  8 Nb 2.99-3.09
Nb 0.1825 0.8175 0.5000  6 Nb 2.73-3.00
Nb 0.3346 0.6654 0.0000  8 Nb 2.73-3.00
Nb 0.5000 0.5000 0.5000  4 Nb 2.89, 4 Er 2.99
Nb 0.6654 0.3346 0.0000  8 Nb 2.73-3.00
Nb 0.8175 0.1825 0.5000  6 Nb 2.73-3.00

Calculated values
Total energy in Ry per atom: -0.6601
Energy of formation from the pure elements in eV per formula unit: 1.03
Total moment in μB per formula unit: 0.00

Entry from Alexandria: crystalline Sm3TmPd3 at its relaxed geometry (GGA-PBE).

Unit cell a=7.0506 b=7.0506 c=7.1940 alpha=91.38 beta=91.38 gamma=97.33
Last column: nearest neighbours and their distance in Å.
Positions (direct):
Sm 0.1754 0.8246 0.0000  6 Pd 2.83-3.01
Sm 0.2544 0.7456 0.5000  6 Pd 3.07-3.11
Sm 0.3474 0.3474 0.1318  3 Pd 2.99-3.03
Sm 0.6526 0.6526 0.8682  3 Pd 2.99-3.03
Sm 0.7456 0.2544 0.5000  6 Pd 3.07-3.11
Sm 0.8246 0.1754 0.0000  6 Pd 2.83-3.01
Tm 0.2550 0.2550 0.6255  4 Pd 2.75-3.01
Tm 0.7450 0.7450 0.3745  4 Pd 2.75-3.01
Pd 0.0238 0.4978 0.7820  1 Tm 2.75, 4 Sm 2.83-3.07
Pd 0.0629 0.0629 0.3128  2 Tm 2.82-3.01, 5 Sm 2.96-3.08, 1 Pd 2.98
Pd 0.4978 0.0238 0.7820  1 Tm 2.75, 4 Sm 2.83-3.07
Pd 0.5022 0.9762 0.2180  1 Tm 2.75, 4 Sm 2.83-3.07
Pd 0.9371 0.9371 0.6872  2 Tm 2.82-3.01, 5 Sm 2.96-3.08, 1 Pd 2.98
Pd 0.9762 0.5022 0.2180  1 Tm 2.75, 4 Sm 2.83-3.07

Calculated values
Total energy in Ry per atom: -0.4074
Energy of formation from the pure elements in eV per formula unit: -4.59
Total moment in μB per formula unit: 0.00

Entry from Alexandria: crystalline LaSc2Ti at its relaxed geometry (GGA-PBE).

Unit cell a=3.6492 b=3.6492 c=7.7274 alpha=90.00 beta=90.00 gamma=90.00
Last column: nearest neighbours and their distance in Å.
Positions (direct):
La 0.0000 0.0000 0.0000  8 Sc 3.47, 4 La 3.65, 2 Ti 3.86
Sc 0.5000 0.5000 0.2996  4 Ti 3.01, 1 Sc 3.10
Sc 0.5000 0.5000 0.7004  4 Ti 3.01, 1 Sc 3.10
Ti 0.0000 0.0000 0.5000  8 Sc 3.01

Calculated values
Total energy in Ry per atom: -0.4566
Energy of formation from the pure elements in eV per formula unit: 0.64
Total moment in μB per formula unit: 1.71

Entry from Alexandria: crystalline Ho2SbSe2 at its relaxed geometry (GGA-PBE).

Unit cell a=7.2243 b=7.2243 c=6.6226 alpha=110.17 beta=110.17 gamma=94.64
Last column: nearest neighbours and their distance in Å.
Positions (direct):
Ho 0.0975 0.9025 0.7500  4 Se 2.77-2.80, 1 Sb 3.01
Ho 0.3225 0.6775 0.2500  4 Se 2.82-2.96, 1 Sb 3.15
Ho 0.6775 0.3225 0.7500  4 Se 2.82-2.96, 1 Sb 3.15
Ho 0.9025 0.0975 0.2500  4 Se 2.77-2.80, 1 Sb 3.01
Sb 0.3807 0.6193 0.7500  4 Ho 3.01-3.37
Sb 0.6193 0.3807 0.2500  4 Ho 3.01-3.37
Se 0.0787 0.2808 0.0293  4 Ho 2.77-2.96
Se 0.2808 0.0787 0.5293  4 Ho 2.77-2.96
Se 0.7192 0.9213 0.4707  4 Ho 2.77-2.96
Se 0.9213 0.7192 0.9707  4 Ho 2.77-2.96

Calculated values
Formation energy without anion corrections in eV/f.u.: -6.18
Total energy in Ry per atom: -0.3884
Total moment in μB per formula unit: 0.00

Entry from Alexandria: crystalline Li2Ca2AcIn2 at its relaxed geometry (GGA-PBE).

Unit cell a=9.9152 b=9.9152 c=9.9152 alpha=29.67 beta=29.67 gamma=29.67
Last column: nearest neighbours and their distance in Å.
Positions (direct):
Li 0.0934 0.0934 0.0934  3 In 2.93
Li 0.9066 0.9066 0.9066  3 In 2.93
Ca 0.3702 0.3702 0.3702  4 In 3.33-3.67, 3 Li 3.34, 3 Ca 3.60, 1 Ac 3.69
Ca 0.6298 0.6298 0.6298  4 In 3.33-3.67, 3 Li 3.34, 3 Ca 3.60, 1 Ac 3.69
Ac 0.5000 0.5000 0.5000  6 Li 3.60, 6 In 3.62, 2 Ca 3.69
In 0.2412 0.2412 0.2412  3 Li 2.93
In 0.7588 0.7588 0.7588  3 Li 2.93

Calculated values
Total energy in Ry per atom: -0.2023
Energy of formation from the pure elements in eV per formula unit: -1.85
Total moment in μB per formula unit: 0.00

Entry from Alexandria: crystalline Ba2TmMnTe5 at its relaxed geometry (GGA-PBE).

Unit cell a=10.2854 b=10.2854 c=14.1662 alpha=90.00 beta=90.00 gamma=154.46
Last column: nearest neighbours and their distance in Å.
Positions (direct):
Ba 0.1193 0.8807 0.5000  7 Te 3.48-3.82
Ba 0.1285 0.8715 0.8593  7 Te 3.47-3.67
Ba 0.8715 0.1285 0.3593  7 Te 3.47-3.67
Ba 0.8807 0.1193 0.0000  7 Te 3.48-3.82
Tm 0.1965 0.8035 0.1938  6 Te 2.97-3.17
Tm 0.8035 0.1965 0.6938  6 Te 2.97-3.17
Mn 0.4363 0.5637 0.5906  4 Te 2.60-2.68
Mn 0.5637 0.4363 0.0906  4 Te 2.60-2.68
Te 0.0388 0.9612 0.1848  2 Mn 2.68
Te 0.3062 0.6938 0.8363  2 Tm 3.04
Te 0.3075 0.6925 0.5416  1 Mn 2.68
Te 0.3444 0.6556 0.1783  1 Tm 2.97
Te 0.4963 0.5037 0.4276  1 Mn 2.60
Te 0.5037 0.4963 0.9276  1 Mn 2.60
Te 0.6556 0.3444 0.6783  1 Tm 2.97
Te 0.6925 0.3075 0.0416  1 Mn 2.68
Te 0.6938 0.3062 0.3363  2 Tm 3.04
Te 0.9612 0.0388 0.6848  2 Mn 2.68

Calculated values
Formation energy without anion corrections in eV/f.u.: -10.82
Total energy in Ry per atom: -0.3595
Total moment in μB per formula unit: 4.00

Entry from Alexandria: crystalline PrTlInAg at its relaxed geometry (GGA-PBE).

Unit cell a=5.2560 b=5.2560 c=5.2560 alpha=60.00 beta=60.00 gamma=60.00
Last column: nearest neighbours and their distance in Å.
Positions (direct):
Pr 0.0000 0.0000 0.0000  4 Ag 3.22, 4 Tl 3.22
Tl 0.2500 0.2500 0.2500  4 In 3.22, 4 Pr 3.22
In 0.5000 0.5000 0.5000  4 Tl 3.22, 4 Ag 3.22
Ag 0.7500 0.7500 0.7500  4 In 3.22, 4 Pr 3.22

Calculated values
Total energy in Ry per atom: -0.2531
Energy of formation from the pure elements in eV per formula unit: -1.04
Total moment in μB per formula unit: 0.00

Entry from Alexandria: crystalline CaPbSe2 at its relaxed geometry (GGA-PBE).

Unit cell a=4.3141 b=4.3141 c=6.0916 alpha=90.00 beta=90.00 gamma=90.00
Last column: nearest neighbours and their distance in Å.
Positions (direct):
Ca 0.0000 0.0000 0.0000  6 Se 3.05
Pb 0.5000 0.5000 0.5000  6 Se 3.05
Se 0.0000 0.0000 0.5000  2 Ca 3.05, 4 Pb 3.05
Se 0.5000 0.5000 0.0000  2 Pb 3.05, 4 Ca 3.05

Calculated values
Formation energy without anion corrections in eV/f.u.: -5.15
Total energy in Ry per atom: -0.3276
Total moment in μB per formula unit: 0.00

Entry from Alexandria: crystalline CeMnFe at its relaxed geometry (GGA-PBE).

Unit cell a=3.7072 b=3.7072 c=4.3454 alpha=90.00 beta=90.00 gamma=120.00
Last column: nearest neighbours and their distance in Å.
Positions (direct):
Ce 0.0000 0.0000 0.0000  3 Fe 2.88, 3 Mn 2.88
Mn 0.6667 0.3333 0.5572  3 Fe 2.20
Fe 0.3333 0.6667 0.4428  3 Mn 2.20

Calculated values
Total energy in Ry per atom: -0.5656
Energy of formation from the pure elements in eV per formula unit: 0.48
Total moment in μB per formula unit: 0.00

Entry from Alexandria: crystalline SbPd3S at its relaxed geometry (GGA-PBE).

Unit cell a=4.9313 b=4.9313 c=4.9313 alpha=90.00 beta=90.00 gamma=90.00
Last column: nearest neighbours and their distance in Å.
Positions (direct):
Sb 0.0000 0.0000 0.0000  6 Pd 2.47
Pd 0.0000 0.0000 0.5000  2 Sb 2.47
Pd 0.0000 0.5000 0.0000  2 Sb 2.47
Pd 0.5000 0.0000 0.0000  2 Sb 2.47
S 0.5000 0.5000 0.5000  12 Pd 3.49

Calculated values
Formation energy without anion corrections in eV/f.u.: 3.45
Total energy in Ry per atom: -0.2995
Total moment in μB per formula unit: 0.00

Entry from Alexandria: crystalline SrReNi2 at its relaxed geometry (GGA-PBE).

Unit cell a=4.5326 b=4.5326 c=5.9329 alpha=99.26 beta=99.26 gamma=36.94
Last column: nearest neighbours and their distance in Å.
Positions (direct):
Sr 0.0000 0.0000 0.0000  2 Sr 2.87, 3 Ni 2.90-3.03
Re 0.7750 0.7750 0.3868  5 Ni 2.42-2.48
Ni 0.2325 0.2325 0.6981  2 Re 2.42, 2 Ni 2.53
Ni 0.5092 0.5092 0.4971  3 Re 2.47-2.48, 2 Ni 2.53

Calculated values
Total energy in Ry per atom: -0.4350
Energy of formation from the pure elements in eV per formula unit: 2.02
Total moment in μB per formula unit: 0.00

Q: total moment of number 2 (ErNb5)?
A: 0.00 μB per formula unit